Entry 1:
Sm12Y7Cd: relaxed, PBE.

The structure in POSCAR format:
```
Sm12Y7Cd
1.0
-10.315 -0.396 2.132
2.632 -8.146 -6.149
5.468 -0.479 8.998
Y Sm Cd
7 12 1
Direct
0.000 0.500 0.500
0.000 0.000 0.500
0.000 0.500 0.000
0.500 0.000 0.500
0.500 0.500 0.500
0.500 0.000 0.000
0.500 0.500 0.000
0.356 0.261 0.617
0.095 0.356 0.739
0.905 0.644 0.261
0.739 0.383 0.644
0.383 0.644 0.739
0.644 0.739 0.383
0.739 0.095 0.356
0.617 0.356 0.261
0.356 0.739 0.095
0.644 0.261 0.905
0.261 0.617 0.356
0.261 0.905 0.644
0.000 0.000 0.000
```

Calculated values
M_tot: 0.0 μB/f.u.
SG: Im-3 (204)
Formation energy from the elements: 0.810 eV/atom

=====

Entry 2:
Tb12Dy3Cd: relaxed, PBE.

The structure in POSCAR format:
```
Tb12Dy3Cd
1.0
-4.023 0.394 2.902
-0.925 -4.849 -0.625
11.224 -4.219 16.132
Tb Dy Cd
12 3 1
Direct
0.500 0.500 0.245
0.000 0.500 0.122
0.000 0.500 0.627
0.000 0.500 0.878
0.500 0.000 0.878
0.000 0.500 0.373
0.500 0.500 0.000
0.500 0.000 0.373
0.500 0.000 0.627
0.500 0.500 0.500
0.500 0.000 0.122
0.500 0.500 0.755
0.000 0.000 0.500
0.000 0.000 0.248
0.000 0.000 0.752
0.000 0.000 0.000
```

Calculated values
M_tot: 0.0 μB/f.u.
SG: P4/mmm (123)
Formation energy from the elements: -0.006 eV/atom

=====

What did the first record say?
Sm12Y7Cd: relaxed, PBE.

The structure in POSCAR format:
```
Sm12Y7Cd
1.0
-10.315 -0.396 2.132
2.632 -8.146 -6.149
5.468 -0.479 8.998
Y Sm Cd
7 12 1
Direct
0.000 0.500 0.500
0.000 0.000 0.500
0.000 0.500 0.000
0.500 0.000 0.500
0.500 0.500 0.500
0.500 0.000 0.000
0.500 0.500 0.000
0.356 0.261 0.617
0.095 0.356 0.739
0.905 0.644 0.261
0.739 0.383 0.644
0.383 0.644 0.739
0.644 0.739 0.383
0.739 0.095 0.356
0.617 0.356 0.261
0.356 0.739 0.095
0.644 0.261 0.905
0.261 0.617 0.356
0.261 0.905 0.644
0.000 0.000 0.000
```

Calculated values
M_tot: 0.0 μB/f.u.
SG: Im-3 (204)
Formation energy from the elements: 0.810 eV/atom

=====

- Look up the M_tot of the first one.
  0.0 μB/f.u.

=====

- Look up the formation energy from the elements of the second one.
  -0.006 eV/atom

=====

Copy entry 1 word for word.
Sm12Y7Cd: relaxed, PBE.

The structure in POSCAR format:
```
Sm12Y7Cd
1.0
-10.315 -0.396 2.132
2.632 -8.146 -6.149
5.468 -0.479 8.998
Y Sm Cd
7 12 1
Direct
0.000 0.500 0.500
0.000 0.000 0.500
0.000 0.500 0.000
0.500 0.000 0.500
0.500 0.500 0.500
0.500 0.000 0.000
0.500 0.500 0.000
0.356 0.261 0.617
0.095 0.356 0.739
0.905 0.644 0.261
0.739 0.383 0.644
0.383 0.644 0.739
0.644 0.739 0.383
0.739 0.095 0.356
0.617 0.356 0.261
0.356 0.739 0.095
0.644 0.261 0.905
0.261 0.617 0.356
0.261 0.905 0.644
0.000 0.000 0.000
```

Calculated values
M_tot: 0.0 μB/f.u.
SG: Im-3 (204)
Formation energy from the elements: 0.810 eV/atom